(1)
Ru2AuSe: optimized geometry, PBE.

Properties
Final energy = -5.945 eV per atom
Size of the total moment = 0.0 μB per formula unit
Space-group type = Cm

abc: 5.056 5.056 4.892
angles: 76.60 76.60 33.38
Element x y z (fractional)
Au  0.747  0.747  0.757
Ru  0.980  0.980  0.068
Ru  0.245  0.245  0.240
Se  0.527  0.527  0.435

(2)
RuAu2Se: optimized geometry, PBE.

Properties
Final energy = -4.575 eV per atom
Size of the total moment = 0.0 μB per formula unit
Space-group type = Imm2

abc: 6.406 6.406 6.406
angles: 152.96 138.91 49.88
Element x y z (fractional)
Au  0.024  0.024  0.000
Au  0.684  0.184  0.500
Ru  0.476  0.476  0.000
Se  0.316  0.816  0.500

(3)
Ru2AuSe: optimized geometry, PBE.

Properties
Final energy = -5.870 eV per atom
Size of the total moment = 0.0 μB per formula unit
Space-group type = Imm2

abc: 5.626 5.626 5.626
angles: 150.59 131.16 58.05
Element x y z (fractional)
Au  0.247  0.747  0.500
Ru  0.972  0.972  0.000
Ru  0.753  0.253  0.500
Se  0.529  0.529  0.000

(4)
Ru2AuSe: optimized geometry, PBE.

Properties
Final energy = -5.648 eV per atom
Size of the total moment = 0.0 μB per formula unit
Space-group type = Pmmm

abc: 2.890 4.809 4.645
angles: 90.00 90.00 90.00
Element x y z (fractional)
Au  0.000  0.500  0.500
Ru  0.000  0.000  0.000
Ru  0.500  0.500  0.000
Se  0.500  0.000  0.500

(5)
RuAu2Se: optimized geometry, PBE.

Properties
Final energy = -4.304 eV per atom
Size of the total moment = 1.6 μB per formula unit
Space-group type = P4/mmm

abc: 4.660 3.897 3.897
angles: 90.00 90.00 90.00
Each line ends with the local moment (μB).
Element x y z (fractional)
Au  0.000  0.000  0.000  0.05
Au  0.000  0.500  0.500  0.05
Ru  0.500  0.500  0.000  1.27
Se  0.500  0.000  0.500  0.11

(6)
Ru2AuSe: optimized geometry, PBE.

Properties
Final energy = -6.071 eV per atom
Size of the total moment = 0.0 μB per formula unit
Space-group type = P4mm

abc: 2.859 2.859 8.274
angles: 90.00 90.00 90.00
Element x y z (fractional)
Au  0.500  0.500  0.785
Ru  0.000  0.000  0.033
Ru  0.500  0.500  0.239
Se  0.000  0.000  0.444

(7)
RuAu2Se: optimized geometry, PBE.

Properties
Final energy = -4.366 eV per atom
Size of the total moment = 1.0 μB per formula unit
Space-group type = Pmmm

abc: 3.046 4.561 5.049
angles: 90.00 90.00 90.00
Each line ends with the local moment (μB).
Element x y z (fractional)
Au  0.000  0.000  0.000  0.04
Au  0.500  0.500  0.000  0.02
Ru  0.500  0.000  0.500  0.86
Se  0.000  0.500  0.500  0.05

(8)
RuAu3Se: optimized geometry, PBE.

Properties
Final energy = -3.248 eV per atom
Size of the total moment = 2.8 μB per formula unit
Space-group type = Pm-3m

abc: 5.028 5.028 5.028
angles: 90.00 90.00 90.00
Each line ends with the local moment (μB).
Element x y z (fractional)
Ru  0.000  0.000  0.000  1.95
Au  0.000  0.500  0.000  0.16
Au  0.000  0.000  0.500  0.29
Au  0.500  0.000  0.000  0.05
Se  0.500  0.500  0.500  0.21

(9)
RuAu3Se: optimized geometry, PBE.

Properties
Final energy = -3.319 eV per atom
Size of the total moment = 1.7 μB per formula unit
Space-group type = Pm-3m

abc: 4.870 4.870 4.870
angles: 90.00 90.00 90.00
Each line ends with the local moment (μB).
Element x y z (fractional)
Ru  0.500  0.500  0.500  1.91
Au  0.000  0.500  0.000  -0.04
Au  0.000  0.000  0.500  -0.07
Au  0.500  0.000  0.000  -0.02
Se  0.000  0.000  0.000  -0.03

(10)
Ru2AuSe: optimized geometry, PBE.

Properties
Final energy = -5.996 eV per atom
Size of the total moment = 0.0 μB per formula unit
Space-group type = R-3m

abc: 8.453 8.453 8.453
angles: 20.18 20.18 20.18
Element x y z (fractional)
Au  0.750  0.750  0.750
Ru  0.991  0.991  0.991
Ru  0.509  0.509  0.509
Se  0.250  0.250  0.250

(11)
Ru2AuSe: optimized geometry, PBE.

Properties
Final energy = -5.667 eV per atom
Size of the total moment = 0.6 μB per formula unit
Space-group type = F-43m

abc: 4.503 4.503 4.503
angles: 60.00 60.00 60.00
Each line ends with the local moment (μB).
Element x y z (fractional)
Au  0.500  0.500  0.500  0.00
Ru  0.000  0.000  0.000  0.32
Ru  0.250  0.250  0.250  0.31
Se  0.750  0.750  0.750  0.00

(12)
RuAu2Se: optimized geometry, PBE.

Properties
Final energy = -4.618 eV per atom
Size of the total moment = 0.0 μB per formula unit
Space-group type = Pm

abc: 3.054 2.831 8.694
angles: 89.66 90.00 90.00
Element x y z (fractional)
Au  0.000  0.757  0.030
Au  0.500  0.252  0.268
Ru  0.000  0.748  0.497
Se  0.500  0.743  0.705

Repeat the third record exactly.
Ru2AuSe: optimized geometry, PBE.

Properties
Final energy = -5.870 eV per atom
Size of the total moment = 0.0 μB per formula unit
Space-group type = Imm2

abc: 5.626 5.626 5.626
angles: 150.59 131.16 58.05
Element x y z (fractional)
Au  0.247  0.747  0.500
Ru  0.972  0.972  0.000
Ru  0.753  0.253  0.500
Se  0.529  0.529  0.000

Question: Look up the size of the total moment of the eighth one.
Answer: 2.8 μB per formula unit